Entry 1:
## PrLuAsO (PBE-GGA)

Data for crystalline PrLuAsO at its relaxed geometry.

The structure belongs to space group P4/nmm (No. 129, origin choice 2); the cell edges are 4.387, 4.387 and 9.019 Å and the angles 90.00°, 90.00° and 90.00°. Symmetry generates all atoms from Pr at (0.250, 0.250, 0.114), Lu at (0.250, 0.750, 0.500), As at (0.250, 0.250, 0.690) and O at (0.250, 0.750, 0.000).

***

Entry 2:
## PrLuAsO (PBE-GGA)

Data for crystalline PrLuAsO at its relaxed geometry.

The structure belongs to space group P4/nmm (No. 129, origin choice 2); the cell edges are 4.279, 4.279 and 9.119 Å and the angles 90.00°, 90.00° and 90.00°. Symmetry generates all atoms from Pr at (0.250, 0.750, 0.000), Lu at (0.250, 0.250, 0.413), As at (0.250, 0.250, 0.773) and O at (0.250, 0.750, 0.500).

***

Entry 3:
## LuAsPtO (PBE-GGA)

Data for crystalline LuAsPtO at its relaxed geometry.

The structure belongs to space group P4/nmm (No. 129, origin choice 2); the cell edges are 4.058, 4.058 and 7.903 Å and the angles 90.00°, 90.00° and 90.00°. Symmetry generates all atoms from Lu at (0.250, 0.250, 0.121), As at (0.250, 0.250, 0.690), Pt at (0.250, 0.750, 0.500) and O at (0.250, 0.750, 0.000).

***

Entry 4:
## LuAsPtO (PBE-GGA)

Data for crystalline LuAsPtO at its relaxed geometry.

The structure belongs to space group Pmc2_1 (No. 26); the cell edges are 4.870, 4.719 and 5.820 Å and the angles 90.00°, 90.00° and 90.00°. Symmetry generates all atoms from Lu at (0.000, 0.234, 0.000), As at (0.500, 0.098, 0.693), Pt at (0.500, 0.411, 0.340) and O at (0.000, 0.363, 0.347).

***

Entry 5:
## LuAsPtO (PBE-GGA)

Data for crystalline LuAsPtO at its relaxed geometry.

The structure belongs to space group Pmc2_1 (No. 26); the cell edges are 3.473, 7.770 and 5.468 Å and the angles 90.00°, 90.00° and 90.00°. Symmetry generates all atoms from Lu at (0.000, 0.201, 0.000), As at (0.000, 0.425, 0.494), Pt at (0.500, 0.214, 0.529) and O at (0.500, 0.068, 0.067).

***

Entry 6:
## LuAsPtO (PBE-GGA)

Data for crystalline LuAsPtO at its relaxed geometry.

The structure belongs to space group Cm (No. 8); the cell edges are 8.173, 8.172 and 4.477 Å and the angles 90.00°, 90.01° and 90.00°. Symmetry generates all atoms from Lu at (0.000, 0.250, 0.000), As at (0.250, 0.000, 0.497), As at (0.258, 0.500, 0.503), Pt at (0.248, 0.500, 0.003), Pt at (0.250, 0.000, 0.998) and O at (0.000, 0.248, 0.500).

***

Entry 7:
## LuAsPtO (PBE-GGA)

Data for crystalline LuAsPtO at its relaxed geometry.

The structure belongs to space group P4/nmm (No. 129, origin choice 2); the cell edges are 5.719, 5.719 and 4.546 Å and the angles 90.00°, 90.00° and 90.00°. Symmetry generates all atoms from Lu at (0.250, 0.750, 0.000), As at (0.250, 0.250, 0.095), Pt at (0.250, 0.250, 0.596) and O at (0.250, 0.750, 0.500).

***

Entry 8:
## RbLuAsO (PBE-GGA)

Data for crystalline RbLuAsO at its relaxed geometry.

The structure belongs to space group P4/nmm (No. 129, origin choice 2); the cell edges are 5.787, 5.787 and 5.256 Å and the angles 90.00°, 90.00° and 90.00°. Symmetry generates all atoms from Rb at (0.250, 0.250, 0.003), Lu at (0.250, 0.750, 0.500), As at (0.250, 0.250, 0.504) and O at (0.250, 0.750, 0.000).

***

Entry 9:
## RbLuAsO (PBE-GGA)

Data for crystalline RbLuAsO at its relaxed geometry.

The structure belongs to space group P4/nmm (No. 129, origin choice 2); the cell edges are 4.078, 4.078 and 10.782 Å and the angles 90.00°, 90.00° and 90.00°. Symmetry generates all atoms from Rb at (0.250, 0.750, 0.000), Lu at (0.250, 0.250, 0.415), As at (0.250, 0.250, 0.758) and O at (0.250, 0.750, 0.500).

***

Entry 10:
## RbLuAsO (PBE-GGA)

Data for crystalline RbLuAsO at its relaxed geometry.

The structure belongs to space group Pmc2_1 (No. 26); the cell edges are 4.772, 8.064 and 6.690 Å and the angles 90.00°, 90.00° and 90.00°. Symmetry generates all atoms from Rb at (0.000, 0.216, 0.000), Lu at (0.500, 0.382, 0.578), As at (0.000, 0.213, 0.494) and O at (0.500, 0.424, 0.883).

***

Entry 11:
## LuReAsO (PBE-GGA)

Data for crystalline LuReAsO at its relaxed geometry.

The structure belongs to space group P4/nmm (No. 129, origin choice 2); the cell edges are 3.920, 3.920 and 8.320 Å and the angles 90.00°, 90.00° and 90.00°. Symmetry generates all atoms from Lu at (0.250, 0.250, 0.123), Re at (0.250, 0.750, 0.500), As at (0.250, 0.250, 0.690) and O at (0.250, 0.750, 0.000).

***

Entry 12:
## LuReAsO (PBE-GGA)

Data for crystalline LuReAsO at its relaxed geometry.

The structure belongs to space group P4/nmm (No. 129, origin choice 2); the cell edges are 4.283, 4.283 and 6.634 Å and the angles 90.00°, 90.00° and 90.00°. Symmetry generates all atoms from Lu at (0.250, 0.750, 0.000), Re at (0.250, 0.250, 0.351), As at (0.250, 0.250, 0.725) and O at (0.250, 0.750, 0.500).

***

Final energy, respectively: -6.646; -6.456; -6.805; -6.404; -6.417; -6.188; -5.837; -4.597; -5.113; -5.267; -8.248; -6.632 eV per atom.
Relative energy among the computed polymorphs, respectively: 0; 190; 0; 402; 388; 618; 968; 670; 154; 0; 0; 1616 meV/atom.